DFT (PBE) results for a relaxed structure of NaLi2Tl3Br6.

The formation energy without anion corrections comes out at -1.161 eV/atom. The value obtained for the volume is 30.1 Å³/atom. As for the spin magnetization: 0.000 μB/atom.

It has space group C2/m (No. 12), with a = 19.390 Å, b = 4.334 Å, c = 8.989 Å, α = 90.00°, β = 107.17° and γ = 90.00°. The asymmetric unit holds Na at (0.000, 0.000, 0.000), Li at (0.171, 0.500, 0.341), Tl at (0.000, 0.000, 0.500), Tl at (0.164, 0.500, 0.827), Br at (0.021, 0.500, 0.239), Br at (0.164, 0.000, 0.110) and Br at (0.179, 0.000, 0.555).


DFT (PBE) results for a relaxed structure of Na2LiTlBr4.

The formation energy without anion corrections comes out at -1.364 eV/atom. The value obtained for the volume is 29.4 Å³/atom. As for the spin magnetization: 0.000 μB/atom.

It has space group Cmcm (No. 63), with a = 4.310 Å, b = 14.646 Å, c = 14.887 Å, α = 90.00°, β = 90.00° and γ = 90.00°. The asymmetric unit holds Na at (0.000, 0.126, 0.048), Li at (0.000, 0.345, 0.750), Tl at (0.000, 0.381, 0.250), Br at (0.000, 0.063, 0.250), Br at (0.000, 0.239, 0.618) and Br at (0.000, 0.500, 0.000).


DFT (PBE) results for a relaxed structure of Na2LiTlBr6.

The formation energy without anion corrections comes out at -0.955 eV/atom. The value obtained for the volume is 32.3 Å³/atom. For the excess energy over the best structure of this formula in the dataset, the calculation gives 0.155 eV per atom. As for the spin magnetization: 0.000 μB/atom.

It has space group Fm-3m (No. 225), with a = 10.886 Å, b = 10.886 Å, c = 10.886 Å, α = 90.00°, β = 90.00° and γ = 90.00°. The asymmetric unit holds Na at (0.250, 0.250, 0.250), Li at (0.000, 0.000, 0.000), Tl at (0.000, 0.000, 0.500) and Br at (0.000, 0.000, 0.247).


DFT (PBE) results for a relaxed structure of NaLiTlBr3.

The formation energy without anion corrections comes out at -1.303 eV/atom. The value obtained for the volume is 31.6 Å³/atom. As for the spin magnetization: 0.000 μB/atom.

It has space group P2_1/m (No. 11), with a = 9.084 Å, b = 4.388 Å, c = 9.832 Å, α = 90.00°, β = 104.42° and γ = 90.00°. The asymmetric unit holds Na at (0.160, 0.250, 0.140), Li at (0.409, 0.750, 0.395), Tl at (0.299, 0.750, 0.786), Br at (0.053, 0.250, 0.831), Br at (0.310, 0.250, 0.470) and Br at (0.390, 0.750, 0.137).


DFT (PBE) results for a relaxed structure of Na2LiTmBr6.

The formation energy without anion corrections comes out at -1.664 eV/atom. The value obtained for the volume is 29.7 Å³/atom. As for the spin magnetization: 0.000 μB/atom.

It has space group R3 (No. 146, hexagonal axes), with a = 7.2905 Å, b = 7.2905 Å, c = 19.3767 Å, α = 90.00°, β = 90.00° and γ = 120.00°. The asymmetric unit holds Na at (0.0000, 0.0000, 0.0000), Na at (0.0000, 0.0000, 0.4932), Li at (0.0000, 0.0000, 0.2864), Tm at (0.0000, 0.0000, 0.8000), Br at (0.0040, 0.3787, 0.0554) and Br at (0.0144, 0.6352, 0.5551).


DFT (PBE) results for a relaxed structure of NaLi2UBr6.

The formation energy without anion corrections comes out at -1.410 eV/atom. The value obtained for the volume is 29.4 Å³/atom. As for the spin magnetization: 0.300 μB/atom.

It has space group R3 (No. 146, hexagonal axes), with a = 7.1897 Å, b = 7.1897 Å, c = 19.6884 Å, α = 90.00°, β = 90.00° and γ = 120.00°. The asymmetric unit holds Na at (0.0000, 0.0000, 0.0000), Li at (0.0000, 0.0000, 0.1977), Li at (0.0000, 0.0000, 0.7025), U at (0.0000, 0.0000, 0.5075), Br at (0.0299, 0.3422, 0.7713) and Br at (0.0442, 0.7028, 0.2707).


DFT (PBE) results for a relaxed structure of NaLi2UBr8.

The formation energy without anion corrections comes out at -1.253 eV/atom. The value obtained for the volume is 31.9 Å³/atom. As for the spin magnetization: 0.083 μB/atom.

It has space group I-4m2 (No. 119), with a = 9.354 Å, b = 9.354 Å, c = 8.745 Å, α = 90.00°, β = 90.00° and γ = 90.00°. The asymmetric unit holds Na at (0.000, 0.000, 0.000), Li at (0.000, 0.000, 0.500), Li at (0.000, 0.500, 0.250), U at (0.000, 0.500, 0.750), Br at (0.000, 0.213, 0.671) and Br at (0.000, 0.319, 0.035).


DFT (PBE) results for a relaxed structure of NaLiUBr6.

The formation energy without anion corrections comes out at -1.413 eV/atom. The value obtained for the volume is 32.5 Å³/atom. As for the spin magnetization: 0.222 μB/atom.

It has space group P-31c (No. 163), with a = 7.0767 Å, b = 7.0767 Å, c = 13.4901 Å, α = 90.00°, β = 90.00° and γ = 120.00°. The asymmetric unit holds Na at (0.0000, 0.0000, 0.0000), Li at (0.3333, 0.6667, 0.2500), U at (0.3333, 0.6667, 0.7500) and Br at (0.0000, 0.3534, 0.1317).


DFT (PBE) results for a relaxed structure of Na2LiVBr6.

The formation energy without anion corrections comes out at -1.226 eV/atom. The value obtained for the volume is 27.2 Å³/atom. As for the spin magnetization: 0.200 μB/atom.

It has space group R3 (No. 146, hexagonal axes), with a = 7.1372 Å, b = 7.1372 Å, c = 18.5103 Å, α = 90.00°, β = 90.00° and γ = 120.00°. The asymmetric unit holds Na at (0.0000, 0.0000, 0.0000), Na at (0.0000, 0.0000, 0.4901), Li at (0.0000, 0.0000, 0.2795), V at (0.0000, 0.0000, 0.7950), Br at (0.0234, 0.6268, 0.5449) and Br at (0.0659, 0.3495, 0.3839).


DFT (PBE) results for a relaxed structure of Na2LiWBr.

The formation energy without anion corrections comes out at 0.978 eV/atom. The value obtained for the volume is 35.3 Å³/atom. As for the spin magnetization: 0.438 μB/atom.

It has space group P4/mmm (No. 123), with a = 6.085 Å, b = 6.085 Å, c = 4.764 Å, α = 90.00°, β = 90.00° and γ = 90.00°. The asymmetric unit holds Na at (0.000, 0.500, 0.000), Li at (0.000, 0.000, 0.500), W at (0.500, 0.500, 0.000) and Br at (0.500, 0.500, 0.500).


DFT (PBE) results for a relaxed structure of NaLi2YBr6.

The formation energy without anion corrections comes out at -1.662 eV/atom. The value obtained for the volume is 28.4 Å³/atom. As for the spin magnetization: 0.000 μB/atom.

It has space group R3 (No. 146, hexagonal axes), with a = 7.0947 Å, b = 7.0947 Å, c = 19.5479 Å, α = 90.00°, β = 90.00° and γ = 120.00°. The asymmetric unit holds Na at (0.0000, 0.0000, 0.0000), Li at (0.0000, 0.0000, 0.2994), Li at (0.0000, 0.0000, 0.8040), Y at (0.0000, 0.0000, 0.4905), Br at (0.0056, 0.3247, 0.8955) and Br at (0.0116, 0.6338, 0.0648).


DFT (PBE) results for a relaxed structure of Na2LiZnBr5.

The formation energy without anion corrections comes out at -1.295 eV/atom. The value obtained for the volume is 29.3 Å³/atom. As for the spin magnetization: 0.000 μB/atom.

It has space group Cmc2_1 (No. 36), with a = 4.003 Å, b = 20.913 Å, c = 12.606 Å, α = 90.00°, β = 90.00° and γ = 90.00°. The asymmetric unit holds Na at (0.000, 0.132, 0.000), Na at (0.000, 0.168, 0.342), Li at (0.000, 0.205, 0.708), Zn at (0.000, 0.445, 0.092), Br at (0.000, 0.047, 0.707), Br at (0.000, 0.306, 0.340), Br at (0.000, 0.327, 0.672), Br at (0.000, 0.335, 0.024) and Br at (0.000, 0.476, 0.457).


volume of number 1 (NaLi2Tl3Br6)? 30.1 Å³/atom